[1]
A geometry-optimized TaRe2Br structure. Source: Alexandria via LeMat-Bulk, functional PBE.

The structure in CIF format:
```
data_TaRe2Br
_chemical_formula_sum 'Ta3 Re6 Br3'
_cell_length_a 3.058
_cell_length_b 3.058
_cell_length_c 25.736
_cell_angle_alpha 90.00
_cell_angle_beta 90.00
_cell_angle_gamma 120.00
_symmetry_space_group_name_H-M 'P 1'
_symmetry_Int_Tables_number 1
_symmetry_space_group_name_Hall 'P 1'
loop_
_atom_site_label
_atom_site_type_symbol
_atom_site_fract_x
_atom_site_fract_y
_atom_site_fract_z
Ta1 Ta 0.000 0.000 0.000
Ta2 Ta 0.333 0.667 0.667
Ta3 Ta 0.667 0.333 0.333
Re1 Re 0.000 0.000 0.254
Re2 Re 0.000 0.000 0.746
Re3 Re 0.333 0.667 0.413
Re4 Re 0.333 0.667 0.921
Re5 Re 0.667 0.333 0.079
Re6 Re 0.667 0.333 0.587
Br1 Br 0.000 0.000 0.500
Br2 Br 0.333 0.667 0.167
Br3 Br 0.667 0.333 0.833
```

## Properties
- Energy relative to the lowest polymorph listed for this composition: 0.000 eV per atom
- Symmetry: R-3m
- DOS at the Fermi energy: 11.79 states/eV per cell
- Formation energy (no corrections): 0.59 eV/atom

[2]
A geometry-optimized TaReBr2 structure. Source: Alexandria via LeMat-Bulk, functional PBE.

The structure in CIF format:
```
data_TaReBr2
_chemical_formula_sum 'Ta1 Re1 Br2'
_cell_length_a 4.578
_cell_length_b 4.578
_cell_length_c 3.257
_cell_angle_alpha 90.00
_cell_angle_beta 90.00
_cell_angle_gamma 90.00
_symmetry_space_group_name_H-M 'P 1'
_symmetry_Int_Tables_number 1
_symmetry_space_group_name_Hall 'P 1'
loop_
_atom_site_label
_atom_site_type_symbol
_atom_site_fract_x
_atom_site_fract_y
_atom_site_fract_z
Ta1 Ta 0.000 0.000 0.000
Re1 Re 0.500 0.500 0.000
Br1 Br 0.000 0.500 0.500
Br2 Br 0.500 0.000 0.500
```

## Properties
- Energy relative to the lowest polymorph listed for this composition: 1.401 eV per atom
- Symmetry: P4/mmm
- DOS at the Fermi energy: 3.90 states/eV per cell
- Formation energy (no corrections): 1.35 eV/atom

[3]
A geometry-optimized TaRe2Br structure. Source: Alexandria via LeMat-Bulk, functional PBE.

The structure in CIF format:
```
data_TaRe2Br
_chemical_formula_sum 'Ta2 Re4 Br2'
_cell_length_a 3.130
_cell_length_b 4.842
_cell_length_c 9.201
_cell_angle_alpha 90.00
_cell_angle_beta 90.00
_cell_angle_gamma 90.00
_symmetry_space_group_name_H-M 'P 1'
_symmetry_Int_Tables_number 1
_symmetry_space_group_name_Hall 'P 1'
loop_
_atom_site_label
_atom_site_type_symbol
_atom_site_fract_x
_atom_site_fract_y
_atom_site_fract_z
Ta1 Ta 0.000 0.000 0.000
Ta2 Ta 0.500 0.500 0.000
Re1 Re 0.000 0.500 0.231
Re2 Re 0.000 0.500 0.769
Re3 Re 0.500 0.000 0.231
Re4 Re 0.500 0.000 0.769
Br1 Br 0.000 0.000 0.500
Br2 Br 0.500 0.500 0.500
```

## Properties
- Energy relative to the lowest polymorph listed for this composition: 0.066 eV per atom
- Symmetry: Cmmm
- DOS at the Fermi energy: 5.97 states/eV per cell
- Formation energy (no corrections): 0.65 eV/atom

[4]
A geometry-optimized TaReBr2 structure. Source: Alexandria via LeMat-Bulk, functional PBE.

The structure in CIF format:
```
data_TaReBr2
_chemical_formula_sum 'Ta2 Re2 Br4'
_cell_length_a 14.839
_cell_length_b 3.184
_cell_length_c 4.304
_cell_angle_alpha 90.00
_cell_angle_beta 94.37
_cell_angle_gamma 90.00
_symmetry_space_group_name_H-M 'P 1'
_symmetry_Int_Tables_number 1
_symmetry_space_group_name_Hall 'P 1'
loop_
_atom_site_label
_atom_site_type_symbol
_atom_site_fract_x
_atom_site_fract_y
_atom_site_fract_z
Ta1 Ta 0.000 0.000 0.000
Ta2 Ta 0.500 0.500 0.000
Re1 Re 0.000 0.500 0.500
Re2 Re 0.500 0.000 0.500
Br1 Br 0.147 0.500 0.227
Br2 Br 0.353 0.000 0.773
Br3 Br 0.647 0.000 0.227
Br4 Br 0.853 0.500 0.773
```

## Properties
- Energy relative to the lowest polymorph listed for this composition: 0.304 eV per atom
- Symmetry: C2/m
- DOS at the Fermi energy: 6.77 states/eV per cell
- Formation energy (no corrections): 0.25 eV/atom

[5]
A geometry-optimized TaReBr2 structure. Source: Alexandria via LeMat-Bulk, functional PBE.

The structure in CIF format:
```
data_TaReBr2
_chemical_formula_sum 'Ta2 Re2 Br4'
_cell_length_a 7.008
_cell_length_b 3.181
_cell_length_c 9.744
_cell_angle_alpha 90.00
_cell_angle_beta 109.84
_cell_angle_gamma 90.00
_symmetry_space_group_name_H-M 'P 1'
_symmetry_Int_Tables_number 1
_symmetry_space_group_name_Hall 'P 1'
loop_
_atom_site_label
_atom_site_type_symbol
_atom_site_fract_x
_atom_site_fract_y
_atom_site_fract_z
Ta1 Ta 0.000 0.000 0.000
Ta2 Ta 0.500 0.500 0.000
Re1 Re 0.191 0.000 0.835
Re2 Re 0.691 0.500 0.835
Br1 Br 0.052 0.500 0.619
Br2 Br 0.164 0.500 0.228
Br3 Br 0.552 0.000 0.619
Br4 Br 0.664 0.000 0.228
```

## Properties
- Energy relative to the lowest polymorph listed for this composition: 0.000 eV per atom
- Symmetry: Cm
- DOS at the Fermi energy: 2.28 states/eV per cell
- Formation energy (no corrections): -0.06 eV/atom

[6]
A geometry-optimized TaReBr2 structure. Source: Alexandria via LeMat-Bulk, functional PBE.

The structure in CIF format:
```
data_TaReBr2
_chemical_formula_sum 'Ta1 Re1 Br2'
_cell_length_a 2.978
_cell_length_b 2.978
_cell_length_c 9.599
_cell_angle_alpha 90.00
_cell_angle_beta 90.00
_cell_angle_gamma 90.00
_symmetry_space_group_name_H-M 'P 1'
_symmetry_Int_Tables_number 1
_symmetry_space_group_name_Hall 'P 1'
loop_
_atom_site_label
_atom_site_type_symbol
_atom_site_fract_x
_atom_site_fract_y
_atom_site_fract_z
Ta1 Ta 0.000 0.000 0.000
Re1 Re 0.000 0.000 0.500
Br1 Br 0.500 0.500 0.179
Br2 Br 0.500 0.500 0.821
```

## Properties
- Energy relative to the lowest polymorph listed for this composition: 1.303 eV per atom
- Symmetry: P4/mmm
- DOS at the Fermi energy: 3.30 states/eV per cell
- Formation energy (no corrections): 1.25 eV/atom

[7]
A geometry-optimized TaRe2Br structure. Source: Alexandria via LeMat-Bulk, functional PBE.

The structure in CIF format:
```
data_TaRe2Br
_chemical_formula_sum 'Ta1 Re2 Br1'
_cell_length_a 2.889
_cell_length_b 4.755
_cell_length_c 4.903
_cell_angle_alpha 90.00
_cell_angle_beta 92.01
_cell_angle_gamma 90.00
_symmetry_space_group_name_H-M 'P 1'
_symmetry_Int_Tables_number 1
_symmetry_space_group_name_Hall 'P 1'
loop_
_atom_site_label
_atom_site_type_symbol
_atom_site_fract_x
_atom_site_fract_y
_atom_site_fract_z
Ta1 Ta 0.000 0.000 0.000
Re1 Re 0.320 0.500 0.759
Re2 Re 0.680 0.500 0.241
Br1 Br 0.500 0.000 0.500
```

## Properties
- Energy relative to the lowest polymorph listed for this composition: 0.259 eV per atom
- Symmetry: P2/m
- DOS at the Fermi energy: 5.03 states/eV per cell
- Formation energy (no corrections): 0.85 eV/atom

[8]
A geometry-optimized TaRe2Br structure. Source: Alexandria via LeMat-Bulk, functional PBE.

The structure in CIF format:
```
data_TaRe2Br
_chemical_formula_sum 'Ta2 Re4 Br2'
_cell_length_a 9.699
_cell_length_b 3.046
_cell_length_c 4.709
_cell_angle_alpha 90.00
_cell_angle_beta 106.16
_cell_angle_gamma 90.00
_symmetry_space_group_name_H-M 'P 1'
_symmetry_Int_Tables_number 1
_symmetry_space_group_name_Hall 'P 1'
loop_
_atom_site_label
_atom_site_type_symbol
_atom_site_fract_x
_atom_site_fract_y
_atom_site_fract_z
Ta1 Ta 0.000 0.000 0.000
Ta2 Ta 0.500 0.500 0.000
Re1 Re 0.009 0.500 0.518
Re2 Re 0.236 0.000 0.627
Re3 Re 0.509 0.000 0.518
Re4 Re 0.736 0.500 0.627
Br1 Br 0.260 0.500 0.194
Br2 Br 0.760 0.000 0.194
```

## Properties
- Energy relative to the lowest polymorph listed for this composition: 0.163 eV per atom
- Symmetry: Cm
- DOS at the Fermi energy: 4.81 states/eV per cell
- Formation energy (no corrections): 0.75 eV/atom